No. 1
CeUMnCu: relaxed, GGA-PBE.

a = 4.5775 Å, b = 4.5775 Å, c = 4.5775 Å
α = 60.00°, β = 60.00°, γ = 60.00°
Element x y z (fractional)
Ce: 0.0000 0.0000 0.0000
U: 0.2500 0.2500 0.2500
Mn: 0.5000 0.5000 0.5000
Cu: 0.7500 0.7500 0.7500

## Properties
Formation energy from the elements = 0.131 eV per atom
DOS(E_F) = 1.41 states/eV per atom

No. 2
GeAuI2N: relaxed, GGA-PBE.

a = 6.0672 Å, b = 6.0672 Å, c = 3.7942 Å
α = 90.00°, β = 90.00°, γ = 90.00°
Element x y z (fractional)
Ge: 0.0000 0.0000 0.0000
Au: 0.5000 0.5000 0.5000
I: 0.0000 0.5000 0.5000
I: 0.5000 0.0000 0.5000
N: 0.5000 0.5000 0.0000

## Properties
DOS(E_F) = 0.83 states/eV per atom
Offset from the most stable computed form = 221.2 meV/atom

No. 3
CuTcAg: relaxed, GGA-PBE.

a = 2.7281 Å, b = 2.7281 Å, c = 6.9192 Å
α = 90.00°, β = 90.00°, γ = 120.00°
Element x y z (fractional)
Cu: 0.0000 0.0000 0.0000
Tc: 0.6667 0.3333 0.3095
Ag: 0.3333 0.6667 0.6687

## Properties
Formation energy from the elements = 0.337 eV per atom
DOS(E_F) = 0.64 states/eV per atom
Offset from the most stable computed form = 0.0 meV/atom

| no. | total magnetization (μB per formula unit) |
| --- | --- |
| 1 | 0.094 |
| 2 | 0.219 |
| 3 | 0.000 |